Entry 1:
Computed, not measured: a relaxed structure of Rb2DyBiO4 at the PBE-GGA level of DFT.

Unit cell a=6.221 b=3.574 c=6.891 alpha=90.00 beta=107.34 gamma=90.00
Fractional positions:
Rb 0.000 0.000 0.000
Rb 0.500 0.500 0.000
Dy 0.000 0.500 0.500
Bi 0.500 0.000 0.500
O 0.214 0.000 0.679
O 0.257 0.500 0.314
O 0.743 0.500 0.686
O 0.786 0.000 0.321

Computed properties:
SG: P2/m, No. 10
Raw formation energy, meV per atom: -1988


Entry 2:
Computed, not measured: a relaxed structure of Rb2DyBi2O6 at the PBE-GGA level of DFT.

Unit cell a=6.118 b=6.118 c=7.038 alpha=98.52 beta=98.52 gamma=119.67
Fractional positions:
Rb 0.169 0.831 0.000
Rb 0.831 0.169 0.000
Dy 0.000 0.000 0.500
Bi 0.335 0.665 0.500
Bi 0.665 0.335 0.500
O 0.051 0.386 0.672
O 0.259 0.259 0.325
O 0.386 0.051 0.672
O 0.614 0.949 0.328
O 0.741 0.741 0.675
O 0.949 0.614 0.328

Computed properties:
SG: C2/m, No. 12
Raw formation energy, meV per atom: -1736


Entry 3:
Computed, not measured: a relaxed structure of Rb2Dy2BiO6 at the PBE-GGA level of DFT.

Unit cell a=6.042 b=6.042 c=6.998 alpha=98.06 beta=98.06 gamma=119.98
Fractional positions:
Rb 0.166 0.834 0.000
Rb 0.834 0.166 0.000
Dy 0.334 0.666 0.500
Dy 0.666 0.334 0.500
Bi 0.000 0.000 0.500
O 0.050 0.389 0.669
O 0.273 0.273 0.330
O 0.389 0.050 0.669
O 0.611 0.950 0.331
O 0.727 0.727 0.670
O 0.950 0.611 0.331

Computed properties:
SG: C2/m, No. 12
Raw formation energy, meV per atom: -2258


Entry 4:
Computed, not measured: a relaxed structure of DyBi2RhO6 at the PBE-GGA level of DFT.

Unit cell a=5.596 b=6.089 c=9.810 alpha=90.00 beta=123.73 gamma=90.00
Fractional positions:
Dy 0.000 0.000 0.000
Dy 0.000 0.500 0.500
Bi 0.246 0.055 0.732
Bi 0.246 0.445 0.232
Bi 0.754 0.555 0.768
Bi 0.754 0.945 0.268
Rh 0.500 0.000 0.500
Rh 0.500 0.500 0.000
O 0.140 0.051 0.264
O 0.140 0.449 0.764
O 0.213 0.669 0.035
O 0.213 0.831 0.535
O 0.387 0.212 0.070
O 0.387 0.288 0.570
O 0.613 0.712 0.430
O 0.613 0.788 0.930
O 0.787 0.169 0.465
O 0.787 0.331 0.965
O 0.860 0.551 0.236
O 0.860 0.949 0.736

Computed properties:
SG: P2_1/c, No. 14
Raw formation energy, meV per atom: -1622


Entry 5:
Computed, not measured: a relaxed structure of DyBi3Ru4O14 at the PBE-GGA level of DFT.

Unit cell a=7.332 b=7.332 c=7.332 alpha=59.77 beta=59.77 gamma=59.77
Fractional positions:
Dy 0.000 0.000 0.000
Bi 0.000 0.000 0.500
Bi 0.000 0.500 0.000
Bi 0.500 0.000 0.000
Ru 0.000 0.500 0.500
Ru 0.500 0.000 0.500
Ru 0.500 0.500 0.000
Ru 0.500 0.500 0.500
O 0.121 0.121 0.121
O 0.169 0.169 0.580
O 0.169 0.580 0.169
O 0.171 0.579 0.579
O 0.420 0.831 0.831
O 0.421 0.421 0.829
O 0.421 0.829 0.421
O 0.579 0.171 0.579
O 0.579 0.579 0.171
O 0.580 0.169 0.169
O 0.829 0.421 0.421
O 0.831 0.420 0.831
O 0.831 0.831 0.420
O 0.879 0.879 0.879

Computed properties:
SG: R-3m, No. 166
Raw formation energy, meV per atom: -1365


Entry 6:
Computed, not measured: a relaxed structure of Dy3BiRu4O14 at the PBE-GGA level of DFT.

Unit cell a=7.264 b=7.264 c=7.264 alpha=60.14 beta=60.14 gamma=60.14
Fractional positions:
Dy 0.000 0.500 0.500
Dy 0.500 0.000 0.500
Dy 0.500 0.500 0.000
Bi 0.500 0.500 0.500
Ru 0.000 0.000 0.000
Ru 0.000 0.000 0.500
Ru 0.000 0.500 0.000
Ru 0.500 0.000 0.000
O 0.081 0.667 0.667
O 0.087 0.087 0.663
O 0.087 0.663 0.087
O 0.333 0.333 0.919
O 0.333 0.919 0.333
O 0.337 0.913 0.913
O 0.371 0.371 0.371
O 0.629 0.629 0.629
O 0.663 0.087 0.087
O 0.667 0.081 0.667
O 0.667 0.667 0.081
O 0.913 0.337 0.913
O 0.913 0.913 0.337
O 0.919 0.333 0.333

Computed properties:
SG: R-3m, No. 166
Raw formation energy, meV per atom: -1883


Entry 7:
Computed, not measured: a relaxed structure of DyBiRuO6 at the PBE-GGA level of DFT.

Unit cell a=5.540 b=5.540 c=9.516 alpha=90.00 beta=90.00 gamma=120.00
Fractional positions:
Dy 0.333 0.667 0.250
Dy 0.667 0.333 0.750
Bi 0.000 0.000 0.000
Bi 0.000 0.000 0.500
Ru 0.333 0.667 0.750
Ru 0.667 0.333 0.250
O 0.040 0.376 0.634
O 0.040 0.664 0.866
O 0.336 0.376 0.866
O 0.336 0.960 0.634
O 0.376 0.040 0.134
O 0.376 0.336 0.366
O 0.624 0.664 0.634
O 0.624 0.960 0.866
O 0.664 0.040 0.366
O 0.664 0.624 0.134
O 0.960 0.336 0.134
O 0.960 0.624 0.366

Computed properties:
SG: P-31c, No. 163
Raw formation energy, meV per atom: -1632


Entry 8:
Computed, not measured: a relaxed structure of Dy2BiRuO8 at the PBE-GGA level of DFT.

Unit cell a=5.029 b=5.029 c=6.721 alpha=90.00 beta=90.00 gamma=91.31
Fractional positions:
Dy 0.000 0.000 0.246
Dy 0.000 0.000 0.754
Bi 0.500 0.500 0.500
Ru 0.500 0.500 0.000
O 0.194 0.194 0.500
O 0.229 0.229 0.000
O 0.319 0.681 0.224
O 0.319 0.681 0.776
O 0.681 0.319 0.224
O 0.681 0.319 0.776
O 0.771 0.771 0.000
O 0.806 0.806 0.500

Computed properties:
SG: Cmmm, No. 65
Raw formation energy, meV per atom: -1976


Entry 9:
Computed, not measured: a relaxed structure of DyBi2SO4 at the PBE-GGA level of DFT.

Unit cell a=3.848 b=3.848 c=8.938 alpha=90.00 beta=90.00 gamma=90.00
Fractional positions:
Dy 0.000 0.000 0.000
Bi 0.500 0.500 0.286
Bi 0.500 0.500 0.714
S 0.000 0.000 0.500
O 0.000 0.500 0.155
O 0.000 0.500 0.845
O 0.500 0.000 0.155
O 0.500 0.000 0.845

Computed properties:
SG: P4/mmm, No. 123
Raw formation energy, meV per atom: -1729


Entry 10:
Computed, not measured: a relaxed structure of DyBiSbO6 at the PBE-GGA level of DFT.

Unit cell a=5.636 b=5.636 c=9.325 alpha=90.00 beta=90.00 gamma=120.00
Fractional positions:
Dy 0.333 0.667 0.250
Dy 0.667 0.333 0.750
Bi 0.000 0.000 0.000
Bi 0.000 0.000 0.500
Sb 0.333 0.667 0.750
Sb 0.667 0.333 0.250
O 0.033 0.365 0.632
O 0.033 0.668 0.868
O 0.332 0.365 0.868
O 0.332 0.967 0.632
O 0.365 0.033 0.132
O 0.365 0.332 0.368
O 0.635 0.668 0.632
O 0.635 0.967 0.868
O 0.668 0.033 0.368
O 0.668 0.635 0.132
O 0.967 0.332 0.132
O 0.967 0.635 0.368

Computed properties:
SG: P-31c, No. 163
Raw formation energy, meV per atom: -1801


Entry 11:
Computed, not measured: a relaxed structure of Dy2ScBiO6 at the PBE-GGA level of DFT.

Unit cell a=5.374 b=5.374 c=5.550 alpha=90.00 beta=90.00 gamma=90.00
Fractional positions:
Dy 0.000 0.500 0.000
Dy 0.500 0.000 0.000
Sc 0.000 0.000 0.613
Bi 0.500 0.500 0.577
O 0.000 0.000 0.256
O 0.242 0.242 0.781
O 0.242 0.758 0.781
O 0.500 0.500 0.168
O 0.758 0.242 0.781
O 0.758 0.758 0.781

Computed properties:
SG: P4mm, No. 99
Raw formation energy, meV per atom: -2666


Entry 12:
Computed, not measured: a relaxed structure of Dy2ScBi2O2 at the PBE-GGA level of DFT.

Unit cell a=8.844 b=8.844 c=8.844 alpha=152.87 beta=152.87 gamma=38.75
Fractional positions:
Dy 0.105 0.105 0.000
Dy 0.895 0.895 0.000
Sc 0.500 0.500 0.000
Bi 0.312 0.312 0.000
Bi 0.688 0.688 0.000
O 0.000 0.500 0.500
O 0.500 0.000 0.500

Computed properties:
SG: I4/mmm, No. 139
Raw formation energy, meV per atom: -1870


Question: What is the raw formation energy in the second record?
Answer: -1736 meV per atom


Question: Among the records above, which one has the highest raw formation energy?
Answer: DyBi3Ru4O14


Question: Look up the raw formation energy of the fourth one.
Answer: -1622 meV per atom


Question: The lowest raw formation energy belongs to which entry?
Answer: Dy2ScBiO6